AcCoTc2O8 | GGA+U | optimized geometry

Values from the calculation:
The energy is -89.3 eV/cell. For the density of states at the Fermi level, the calculation gives 0.798 states/eV per atom. Its space group is P-3.

Lattice parameters (Å, degrees): 5.770 5.770 6.912 90.00 90.00 120.00
Sites, in units of the cell vectors:
O 0.842 0.689 0.301
O 0.158 0.311 0.699
O 0.333 0.667 0.018
O 0.689 0.847 0.699
O 0.667 0.333 0.982
O 0.311 0.153 0.301
O 0.847 0.158 0.301
O 0.153 0.842 0.699
Tc 0.333 0.667 0.758
Tc 0.667 0.333 0.242
Ac 0.000 0.000 0.000
Co 0.000 0.000 0.500